Compound: ThMg5Au4
Source: Alexandria via LeMat-Bulk
Functional: PBE
Structure: optimized geometry Values from VASP.

- formation energy (meV per atom) = -477
- calculated total energy (Ry per atom) = -0.24457
- space group = P4/mmm
- total magnetization (μB per cell) = 0.00

Cell and atoms, written as Quantum ESPRESSO input:
```
&SYSTEM
  ibrav = 0, nat = 10, ntyp = 3
/
ATOMIC_SPECIES
Th 232.04 Th.upf
Mg 24.30 Mg.upf
Au 196.97 Au.upf
ATOMIC_POSITIONS crystal
Th 0.000 0.000 0.000
Mg 0.500 0.500 0.141
Mg 0.500 0.500 0.319
Mg 0.500 0.500 0.500
Mg 0.500 0.500 0.681
Mg 0.500 0.500 0.859
Au 0.000 0.000 0.226
Au 0.000 0.000 0.409
Au 0.000 0.000 0.591
Au 0.000 0.000 0.774
CELL_PARAMETERS angstrom
3.377 0.000 0.000
0.000 3.377 0.000
0.000 0.000 17.560
```